(1)
TmMg2Cu | PBE-GGA | optimized geometry

* total moment: 0.0 μB/f.u.
* final energy: -48.16 eV per cell

Unit cell a=6.889 b=6.889 c=6.889 alpha=90.00 beta=90.00 gamma=90.00
Space group F-43m (No. 216)
Asymmetric unit:
Tm  0.000  0.000  0.000 (multiplicity 4)
Mg  0.000  0.000  0.500 (multiplicity 4)
Mg  0.250  0.250  0.750 (multiplicity 4)
Cu  0.250  0.250  0.250 (multiplicity 4)

(2)
Tm3Mg2Cu2 | PBE-GGA | optimized geometry

* total moment: 0.0 μB/f.u.
* final energy: -52.10 eV per cell

Unit cell a=4.253 b=21.119 c=3.553 alpha=90.00 beta=90.00 gamma=90.00
Space group Cmmm (No. 65)
Asymmetric unit:
Tm  0.000  0.000  0.000 (multiplicity 2)
Tm  0.000  0.175  0.000 (multiplicity 4)
Mg  0.000  0.416  0.500 (multiplicity 4)
Cu  0.000  0.283  0.500 (multiplicity 4)

(3)
TmMgCu2 | PBE-GGA | optimized geometry

* total moment: 0.0 μB/f.u.
* final energy: -14.95 eV per cell

Unit cell a=3.307 b=3.307 c=6.589 alpha=90.00 beta=90.00 gamma=90.00
Space group P4/mmm (No. 123)
Asymmetric unit:
Tm  0.000  0.000  0.000 (multiplicity 1)
Mg  0.000  0.000  0.500 (multiplicity 1)
Cu  0.500  0.500  0.265 (multiplicity 2)

(4)
Tm8Mg2Cu | PBE-GGA | optimized geometry

* total moment: 0.0 μB/f.u.
* final energy: -85.56 eV per cell

Unit cell a=17.522 b=5.321 c=6.813 alpha=90.00 beta=108.79 gamma=90.00
Space group C2/m (No. 12)
Asymmetric unit:
Tm  0.018  0.000  0.276 (multiplicity 4)
Tm  0.096  0.500  0.930 (multiplicity 4)
Tm  0.150  0.500  0.446 (multiplicity 4)
Tm  0.196  0.000  0.767 (multiplicity 4)
Mg  0.186  0.000  0.209 (multiplicity 4)
Cu  0.000  0.500  0.500 (multiplicity 2)

(5)
Tm12MgCu6 | PBE-GGA | optimized geometry

* total moment: 0.0 μB/f.u.
* final energy: -165.75 eV per cell

Unit cell a=9.732 b=9.732 c=9.732 alpha=90.00 beta=90.00 gamma=90.00
Space group Im-3 (No. 204)
Asymmetric unit:
Tm  0.000  0.296  0.189 (multiplicity 24)
Mg  0.000  0.000  0.000 (multiplicity 2)
Cu  0.000  0.125  0.500 (multiplicity 12)

(6)
TmMg3Cu2 | PBE-GGA | optimized geometry

* total moment: 0.0 μB/f.u.
* final energy: -72.03 eV per cell

Unit cell a=14.909 b=3.739 c=10.618 alpha=90.00 beta=122.85 gamma=90.00
Space group C2/m (No. 12)
Asymmetric unit:
Tm  0.145  0.000  0.230 (multiplicity 4)
Mg  0.074  0.500  0.436 (multiplicity 4)
Mg  0.075  0.500  0.921 (multiplicity 4)
Mg  0.146  0.000  0.733 (multiplicity 4)
Cu  0.227  0.000  0.048 (multiplicity 4)
Cu  0.227  0.000  0.552 (multiplicity 4)

(7)
TmMgCu17 | PBE-GGA | optimized geometry

* total moment: 0.0 μB/f.u.
* final energy: -230.21 eV per cell

Unit cell a=8.4576 b=8.4576 c=12.4346 alpha=90.00 beta=90.00 gamma=120.00
Space group R3m (No. 160, hexagonal axes)
Asymmetric unit:
Tm  0.0000  0.0000  0.0000 (multiplicity 3)
Mg  0.0000  0.0000  0.6818 (multiplicity 3)
Cu  0.0000  0.0000  0.2432 (multiplicity 3)
Cu  0.0000  0.0000  0.4404 (multiplicity 3)
Cu  0.0022  0.3020  0.3390 (multiplicity 18)
Cu  0.0038  0.5019  0.1866 (multiplicity 9)
Cu  0.0036  0.5018  0.8374 (multiplicity 9)
Cu  0.0062  0.5031  0.4933 (multiplicity 9)

(8)
Tm2Mg2Cu15 | PBE-GGA | optimized geometry

* total moment: 0.0 μB/f.u.
* final energy: -228.93 eV per cell

Unit cell a=8.6151 b=8.6151 c=12.7229 alpha=90.00 beta=90.00 gamma=120.00
Space group R-3m (No. 166, hexagonal axes)
Asymmetric unit:
Tm  0.0000  0.0000  0.1459 (multiplicity 6)
Mg  0.0000  0.0000  0.3944 (multiplicity 6)
Cu  0.0000  0.3029  0.5000 (multiplicity 18)
Cu  0.0000  0.5000  0.0000 (multiplicity 9)
Cu  0.0057  0.5029  0.6536 (multiplicity 18)

(9)
TmMg2Cu | PBE-GGA | optimized geometry

* total moment: 0.0 μB/f.u.
* final energy: -32.31 eV per cell

Unit cell a=3.1565 b=3.1565 c=31.3440 alpha=90.00 beta=90.00 gamma=120.00
Space group R-3m (No. 166, hexagonal axes)
Asymmetric unit:
Tm  0.0000  0.0000  0.0000 (multiplicity 3)
Mg  0.0000  0.0000  0.1021 (multiplicity 6)
Cu  0.0000  0.0000  0.5000 (multiplicity 3)

(10)
Tm8MgCu2 | PBE-GGA | optimized geometry

* total moment: 0.8 μB/f.u.
* final energy: -90.79 eV per cell

Unit cell a=8.600 b=13.374 c=5.356 alpha=90.00 beta=105.45 gamma=90.00
Space group C2/m (No. 12)
Asymmetric unit:
Tm  0.000  0.247  0.000 (multiplicity 4)
Tm  0.106  0.500  0.802 (multiplicity 4)
Tm  0.204  0.126  0.587 (multiplicity 8)
Mg  0.000  0.000  0.000 (multiplicity 2)
Cu  0.000  0.310  0.500 (multiplicity 4)

(11)
Tm4MgCu | PBE-GGA | optimized geometry

* total moment: 0.0 μB/f.u.
* final energy: -388.06 eV per cell

Unit cell a=13.558 b=13.558 c=13.558 alpha=90.00 beta=90.00 gamma=90.00
Space group F-43m (No. 216)
Asymmetric unit:
Tm  0.000  0.000  0.184 (multiplicity 24)
Tm  0.063  0.250  0.250 (multiplicity 24)
Tm  0.100  0.100  0.600 (multiplicity 16)
Mg  0.170  0.170  0.830 (multiplicity 16)
Cu  0.107  0.107  0.393 (multiplicity 16)

(12)
Tm2MgCu9 | PBE-GGA | optimized geometry

* total moment: 0.0 μB/f.u.
* final energy: -147.88 eV per cell

Unit cell a=5.0627 b=5.0627 c=24.7076 alpha=90.00 beta=90.00 gamma=120.00
Space group R-3m (No. 166, hexagonal axes)
Asymmetric unit:
Tm  0.0000  0.0000  0.1374 (multiplicity 6)
Mg  0.0000  0.0000  0.0000 (multiplicity 3)
Cu  0.0000  0.0000  0.3328 (multiplicity 6)
Cu  0.0000  0.0000  0.5000 (multiplicity 3)
Cu  0.0019  0.5010  0.9179 (multiplicity 18)